[1]
A geometry-optimized V2PdBr structure, computed with PBE.

Structure (POSCAR):
```
V2PdBr
1.0
6.772 0.000 0.000
0.000 6.772 0.000
3.386 3.386 3.305
Pd Br V
2 2 4
Cartesian
0.000 0.000 0.000
6.772 3.386 1.653
3.386 3.386 0.000
3.386 6.772 1.653
5.094 1.693 0.826
1.678 5.079 0.826
5.079 5.064 2.479
8.465 8.479 2.479
```

Output
ΔE to the lowest computed polymorph: 145 meV/atom
Symmetry: I-42d (122)
Crystal system: tetragonal
Energy relative to the elements, uncorrected: 13.7 kcal/mol of atoms

---

[2]
A geometry-optimized VPd2Br structure, computed with PBE.

Structure (POSCAR):
```
VPd2Br
1.0
6.470 0.000 0.000
0.000 6.470 0.000
3.235 3.235 4.158
Pd Br V
4 2 2
Cartesian
4.634 1.618 1.039
1.836 4.853 1.039
4.853 5.071 3.118
8.088 7.869 3.118
0.000 0.000 0.000
6.470 3.235 2.079
3.235 3.235 0.000
3.235 6.470 2.079
```

Output
ΔE to the lowest computed polymorph: 129 meV/atom
Symmetry: I-42d (122)
Crystal system: tetragonal
Energy relative to the elements, uncorrected: 11.6 kcal/mol of atoms